Entry 1:
## LiCa2Se (GGA-PBE)

Data for LiCa2Se after structural relaxation.

a = 3.808 Å, b = 3.821 Å, c = 7.172 Å
α = 90.00°, β = 90.00°, γ = 90.00°
Positions (direct):
Li1 0.000 0.000 0.000
Ca1 0.500 0.500 0.263
Ca2 0.500 0.500 0.737
Se1 0.000 0.000 0.500

- magnetization (μB per formula unit) = 0.00
- D(E_F) (states/eV per cell) = 2.29
- formation energy from raw total energies (meV/atom) = -818.7
- V (Å³/cell) = 104.3



Entry 2:
## Li2CaSiSe4 (GGA-PBE)

Data for Li2CaSiSe4 after structural relaxation.

a = 7.880 Å, b = 7.880 Å, c = 7.880 Å
α = 122.36°, β = 119.07°, γ = 88.79°
Positions (direct):
Li1 0.000 0.000 0.000
Li2 0.500 0.000 0.000
Li3 0.500 0.000 0.500
Li4 0.500 0.500 0.500
Ca1 0.000 0.500 0.500
Ca2 0.500 0.500 0.000
Si1 0.000 0.000 0.500
Si2 0.000 0.500 0.000
Se1 0.217 0.202 0.485
Se2 0.217 0.733 0.015
Se3 0.223 0.244 0.979
Se4 0.235 0.756 0.479
Se5 0.765 0.244 0.521
Se6 0.777 0.756 0.021
Se7 0.783 0.267 0.985
Se8 0.783 0.798 0.515

- magnetization (μB per formula unit) = 0.00
- D(E_F) (states/eV per cell) = 1.89
- formation energy from raw total energies (meV/atom) = -953.4
- V (Å³/cell) = 341.7



Entry 3:
## LiCa2SiSe (GGA-PBE)

Data for LiCa2SiSe after structural relaxation.

a = 5.628 Å, b = 5.628 Å, c = 5.129 Å
α = 90.00°, β = 90.00°, γ = 90.00°
Positions (direct):
Li1 0.000 0.000 0.000
Ca1 0.000 0.500 0.500
Ca2 0.500 0.000 0.500
Si1 0.500 0.500 0.500
Se1 0.500 0.500 0.000

- magnetization (μB per formula unit) = 0.00
- D(E_F) (states/eV per cell) = 3.83
- formation energy from raw total energies (meV/atom) = -81.6
- V (Å³/cell) = 162.4



Entry 4:
## LiCa2Sm3Se6 (GGA-PBE)

Data for LiCa2Sm3Se6 after structural relaxation.

a = 7.164 Å, b = 7.164 Å, c = 7.265 Å
α = 99.46°, β = 99.46°, γ = 120.01°
Positions (direct):
Li1 0.000 0.000 0.000
Ca1 0.334 0.666 0.000
Ca2 0.666 0.334 0.000
Sm1 0.168 0.832 0.500
Sm2 0.500 0.500 0.500
Sm3 0.832 0.168 0.500
Se1 0.082 0.409 0.245
Se2 0.245 0.245 0.754
Se3 0.409 0.082 0.245
Se4 0.591 0.918 0.755
Se5 0.755 0.755 0.246
Se6 0.918 0.591 0.755

- magnetization (μB per formula unit) = 0.00
- D(E_F) (states/eV per cell) = 2.90
- formation energy from raw total energies (meV/atom) = -1835.8
- V (Å³/cell) = 304.9



Entry 5:
## LiCa3Sm2Se6 (GGA-PBE)

Data for LiCa3Sm2Se6 after structural relaxation.

a = 7.213 Å, b = 7.213 Å, c = 7.239 Å
α = 99.58°, β = 99.58°, γ = 119.97°
Positions (direct):
Li1 0.000 0.000 0.000
Ca1 0.167 0.833 0.500
Ca2 0.500 0.500 0.500
Ca3 0.833 0.167 0.500
Sm1 0.333 0.667 0.000
Sm2 0.667 0.333 0.000
Se1 0.082 0.412 0.246
Se2 0.248 0.248 0.754
Se3 0.412 0.082 0.246
Se4 0.588 0.918 0.754
Se5 0.752 0.752 0.246
Se6 0.918 0.588 0.754

- magnetization (μB per formula unit) = 0.00
- D(E_F) (states/eV per cell) = 3.57
- formation energy from raw total energies (meV/atom) = -1863.6
- V (Å³/cell) = 307.6



Entry 6:
## LiCa3Sm3Se8 (GGA-PBE)

Data for LiCa3Sm3Se8 after structural relaxation.

a = 8.366 Å, b = 8.366 Å, c = 8.366 Å
α = 59.72°, β = 59.72°, γ = 59.72°
Positions (direct):
Li1 0.000 0.000 0.000
Ca1 0.000 0.000 0.500
Ca2 0.000 0.500 0.000
Ca3 0.500 0.000 0.000
Sm1 0.000 0.500 0.500
Sm2 0.500 0.000 0.500
Sm3 0.500 0.500 0.000
Se1 0.244 0.244 0.750
Se2 0.244 0.750 0.244
Se3 0.250 0.250 0.250
Se4 0.250 0.756 0.756
Se5 0.750 0.244 0.244
Se6 0.750 0.750 0.750
Se7 0.756 0.250 0.756
Se8 0.756 0.756 0.250

- magnetization (μB per formula unit) = 0.00
- formation energy from raw total energies (meV/atom) = -1810.3
- V (Å³/cell) = 411.4